VASP calculation (GGA+U) on BaGdInWO6 after structural relaxation.

Calculated values
Space-group type = No. 216
DFT total energy = -79.9 eV/f.u.

Cell: 6.035 6.035 6.035 Å, 60.00 60.00 60.00°
Sites, in units of the cell vectors:
Ba  0.000  0.000  0.000
Gd  0.750  0.750  0.750
In  0.500  0.500  0.500
W  0.250  0.250  0.250
O  0.020  0.020  0.480
O  0.020  0.480  0.020
O  0.020  0.480  0.480
O  0.480  0.020  0.020
O  0.480  0.020  0.480
O  0.480  0.480  0.020